[1]
{"formula": "Y2GeAu2", "functional": "GGA-PBE", "state": "optimized geometry", "volume_a3_per_cell": 244, "formation_energy_ev_per_fu": -2.92, "polymorph_energy_ev_per_fu": 0.74, "magmom_total_mub_per_fu": 0.00, "cell": [[8.0778, 0.0000, 0.0000], [0.0000, 8.0778, 0.0000], [0.0000, 0.0000, 3.7324]], "species": ["Y", "Y", "Y", "Y", "Ge", "Ge", "Au", "Au", "Au", "Au"], "fractional_positions": [[0.1706, 0.3294, 0.0000], [0.3294, 0.8294, 0.0000], [0.6706, 0.1706, 0.0000], [0.8294, 0.6706, 0.0000], [0.0000, 0.0000, 0.0000], [0.5000, 0.5000, 0.0000], [0.1266, 0.6266, 0.5000], [0.3734, 0.1266, 0.5000], [0.6266, 0.8734, 0.5000], [0.8734, 0.3734, 0.5000]]}

***

[2]
{"formula": "YGeAu3", "functional": "GGA-PBE", "state": "optimized geometry", "volume_a3_per_cell": 117, "formation_energy_ev_per_fu": -0.69, "polymorph_energy_ev_per_fu": 0.00, "magmom_total_mub_per_fu": 0.00, "cell": [[4.8970, 0.0000, 0.0000], [0.0000, 4.8970, 0.0000], [0.0000, 0.0000, 4.8970]], "species": ["Y", "Ge", "Au", "Au", "Au"], "fractional_positions": [[0.0000, 0.0000, 0.0000], [0.5000, 0.5000, 0.5000], [0.0000, 0.5000, 0.5000], [0.5000, 0.0000, 0.5000], [0.5000, 0.5000, 0.0000]]}

***

[3]
{"formula": "YGeAu", "functional": "GGA-PBE", "state": "optimized geometry", "volume_a3_per_cell": 136, "formation_energy_ev_per_fu": -2.03, "magmom_total_mub_per_fu": 0.00, "cell": [[4.4098, 0.0000, 0.0000], [-2.2049, 5.3059, 0.0000], [-0.0062, -2.3545, 5.7932]], "species": ["Y", "Y", "Ge", "Ge", "Au", "Au"], "fractional_positions": [[0.1622, 0.3240, 0.2180], [0.8378, 0.6760, 0.7820], [0.1175, 0.2365, 0.6688], [0.8825, 0.7635, 0.3312], [0.4333, 0.8657, 0.1517], [0.5667, 0.1343, 0.8483]]}

***

[4]
{"formula": "Y2GeAu", "functional": "GGA-PBE", "state": "optimized geometry", "volume_a3_per_cell": 259, "formation_energy_ev_per_fu": -0.73, "magmom_total_mub_per_fu": 0.00, "cell": [[-2.8316, 2.8316, 8.0697], [2.8316, -2.8316, 8.0697], [2.8316, 2.8316, -8.0697]], "species": ["Y", "Y", "Y", "Y", "Ge", "Ge", "Au", "Au"], "fractional_positions": [[0.1168, 0.6250, 0.9918], [0.3750, 0.3668, 0.4918], [0.6332, 0.1250, 0.0082], [0.8750, 0.8832, 0.5082], [0.0000, 0.0000, 0.0000], [0.7500, 0.2500, 0.5000], [0.2500, 0.7500, 0.5000], [0.5000, 0.5000, 0.0000]]}